Record 1
A relaxed Mg2ReTe crystal. Source: the Alexandria database, functional PBE.

Calculated values
The formation energy from raw total energies comes out at 0.516 eV/atom. The calculation puts the density of states at the Fermi level at 6.96 states/eV per cell. Its volume is 22.05 Å³ per atom. The total energy comes out at -33.43 eV per cell. As for the density: 6.822 g/cm3.

Cell lengths 3.2207, 5.2205, 10.4926 Å; angles 90.00, 90.00, 90.00 degrees
Closest atoms and distances in Å follow each position.
Space group Cmm2 (No. 35)
Inequivalent atoms, fractional coordinates:
Mg  0.0000  0.0000  0.0000 [2 per cell]  2 Re 2.76, 4 Mg 3.07
Mg  0.0000  0.5000  0.2584 [2 per cell]  8 Mg 3.07-3.22
Re  0.0000  0.5000  0.7867 [2 per cell]  2 Te 2.67, 2 Mg 2.76
Te  0.0000  0.0000  0.5842 [2 per cell]  2 Re 2.67


Record 2
A relaxed Mg2ReTe crystal. Source: the Alexandria database, functional PBE.

Calculated values
The formation energy from raw total energies comes out at 0.353 eV/atom. The calculation puts the density of states at the Fermi level at 6.49 states/eV per cell. Its volume is 19.08 Å³ per atom. The total energy comes out at -34.73 eV per cell. As for the density: 7.887 g/cm3.

Cell lengths 5.9719, 8.7410, 2.9236 Å; angles 90.00, 90.00, 90.00 degrees
Closest atoms and distances in Å follow each position.
Space group Cmmm (No. 65)
Inequivalent atoms, fractional coordinates:
Mg  0.2500  0.2500  0.0000 [4 per cell]  4 Mg 2.92-2.99, 4 Re 3.02, 4 Te 3.02
Re  0.0000  0.0000  0.5000 [2 per cell]  2 Re 2.92, 2 Te 2.99, 8 Mg 3.02
Te  0.0000  0.5000  0.5000 [2 per cell]  2 Te 2.92, 2 Re 2.99, 8 Mg 3.02


Record 3
A relaxed MgTlRe2Te crystal. Source: the Alexandria database, functional PBE.

Calculated values
The formation energy from raw total energies comes out at 2.396 eV/atom. The calculation puts the density of states at the Fermi level at 5.62 states/eV per cell. Its volume is 31.04 Å³ per atom. The total energy comes out at -20.02 eV per cell. As for the density: 7.797 g/cm3.

Cell lengths 5.1642, 5.1642, 5.8192 Å; angles 90.00, 90.00, 90.00 degrees
Closest atoms and distances in Å follow each position.
Space group P4/mmm (No. 123)
Inequivalent atoms, fractional coordinates:
Mg  0.0000  0.0000  0.0000 [1 per cell]  4 Te 3.65, 8 Re 3.89
Tl  0.5000  0.5000  0.5000 [1 per cell]  4 Re 2.58
Re  0.0000  0.5000  0.5000 [2 per cell]  2 Tl 2.58
Te  0.5000  0.5000  0.0000 [1 per cell]  2 Tl 2.91


Record 4
A relaxed Th12Mg3Re5 crystal. Source: the Alexandria database, functional PBE.

Calculated values
The formation energy is 0.515 eV per atom. The calculation puts the density of states at the Fermi level at 195.39 states/eV per cell. Its volume is 33.78 Å³ per atom. The total energy comes out at -1166.15 eV per cell. As for the density: 9.311 g/cm3.

Cell lengths 17.5496, 17.5496, 17.5496 Å; angles 90.00, 90.00, 90.00 degrees
Closest atoms and distances in Å follow each position.
Space group Ia-3d (No. 230)
Inequivalent atoms, fractional coordinates:
Th  0.0311  0.0572  0.6469 [96 per cell]  2 Re 2.64-2.82
Mg  0.0000  0.2500  0.1250 [24 per cell]  8 Th 3.43-3.45
Re  0.0000  0.0000  0.0000 [16 per cell]  6 Th 2.82
Re  0.0000  0.2500  0.3750 [24 per cell]  4 Th 2.64


Record 5
A relaxed Th2MgRe crystal. Source: the Alexandria database, functional PBE.

Calculated values
The formation energy is 0.162 eV per atom. The calculation puts the density of states at the Fermi level at 2.61 states/eV per cell. Its volume is 24.80 Å³ per atom. Its energy relative to the lowest polymorph listed for this composition is 113 meV per atom. The total energy comes out at -28.23 eV per cell. As for the density: 11.291 g/cm3.

Cell lengths 5.1252, 5.1252, 3.7767 Å; angles 90.00, 90.00, 90.00 degrees
Closest atoms and distances in Å follow each position.
Space group P4/mmm (No. 123)
Inequivalent atoms, fractional coordinates:
Th  0.0000  0.5000  0.0000 [2 per cell]  4 Re 3.18, 4 Mg 3.18
Mg  0.0000  0.0000  0.5000 [1 per cell]  8 Th 3.18
Re  0.5000  0.5000  0.5000 [1 per cell]  8 Th 3.18


Record 6
A relaxed Th2MgRe crystal. Source: the Alexandria database, functional PBE.

Calculated values
The formation energy is 0.049 eV per atom. The calculation puts the density of states at the Fermi level at 3.70 states/eV per cell. Its volume is 26.83 Å³ per atom. Its energy relative to the lowest polymorph listed for this composition is 0 meV per atom. The total energy comes out at -28.69 eV per cell. As for the density: 10.439 g/cm3.

Cell lengths 3.4536, 3.4536, 8.9962 Å; angles 90.00, 90.00, 90.00 degrees
Closest atoms and distances in Å follow each position.
Space group P4/mmm (No. 123)
Inequivalent atoms, fractional coordinates:
Th  0.0000  0.0000  0.2012 [2 per cell]  4 Re 3.04
Mg  0.5000  0.5000  0.5000 [1 per cell]  4 Mg 3.45, 8 Th 3.63
Re  0.5000  0.5000  0.0000 [1 per cell]  8 Th 3.04


Record 7
A relaxed Th2MgRe crystal. Source: the Alexandria database, functional PBE.

Calculated values
The formation energy is 0.156 eV per atom. The calculation puts the density of states at the Fermi level at 18.24 states/eV per cell. Its volume is 24.88 Å³ per atom. Its energy relative to the lowest polymorph listed for this composition is 107 meV per atom. The total energy comes out at -113.03 eV per cell. As for the density: 11.256 g/cm3.

Cell lengths 7.3561, 7.3561, 7.3561 Å; angles 90.00, 90.00, 90.00 degrees
Closest atoms and distances in Å follow each position.
Space group Fm-3m (No. 225)
Inequivalent atoms, fractional coordinates:
Th  0.2500  0.2500  0.2500 [8 per cell]  4 Re 3.19, 4 Mg 3.19
Mg  0.0000  0.0000  0.0000 [4 per cell]  8 Th 3.19
Re  0.0000  0.0000  0.5000 [4 per cell]  8 Th 3.19


Record 8
A relaxed Th2MgRe crystal. Source: the Alexandria database, functional PBE.

Calculated values
The formation energy is 0.522 eV per atom. The calculation puts the density of states at the Fermi level at 18.27 states/eV per cell. Its volume is 27.47 Å³ per atom. Its energy relative to the lowest polymorph listed for this composition is 473 meV per atom. The total energy comes out at -80.38 eV per cell. As for the density: 10.195 g/cm3.

Cell lengths 3.3375, 3.3375, 34.1691 Å; angles 90.00, 90.00, 120.00 degrees
Closest atoms and distances in Å follow each position.
Space group R-3m (No. 166, hexagonal axes)
Inequivalent atoms, fractional coordinates:
Th  0.0000  0.0000  0.1002 [6 per cell]  3 Re 2.98
Mg  0.0000  0.0000  0.0000 [3 per cell]  6 Mg 3.34, 2 Th 3.42
Re  0.0000  0.0000  0.5000 [3 per cell]  6 Th 2.98


Record 9
A relaxed ThMgRe4 crystal. Source: the Alexandria database, functional PBE.

Calculated values
The formation energy is 0.098 eV per atom. The calculation puts the density of states at the Fermi level at 31.86 states/eV per cell. Its volume is 18.77 Å³ per atom. The total energy comes out at -232.89 eV per cell. As for the density: 14.764 g/cm3.

Cell lengths 7.6655, 7.6655, 7.6655 Å; angles 90.00, 90.00, 90.00 degrees
Closest atoms and distances in Å follow each position.
Space group F-43m (No. 216)
Inequivalent atoms, fractional coordinates:
Th  0.0000  0.0000  0.0000 [4 per cell]  12 Re 3.18, 4 Mg 3.32
Mg  0.2500  0.2500  0.2500 [4 per cell]  12 Re 3.18, 4 Th 3.32
Re  0.1244  0.1244  0.6244 [16 per cell]  6 Re 2.70-2.72


Record 10
A relaxed TmThMgRe crystal. Source: the Alexandria database, functional PBE.

Calculated values
The formation energy is 0.071 eV per atom. The calculation puts the density of states at the Fermi level at 19.14 states/eV per cell. Its volume is 23.28 Å³ per atom. The total energy comes out at -102.59 eV per cell. As for the density: 10.904 g/cm3.

Cell lengths 7.1951, 7.1951, 7.1951 Å; angles 90.00, 90.00, 90.00 degrees
Closest atoms and distances in Å follow each position.
Space group F-43m (No. 216)
Inequivalent atoms, fractional coordinates:
Tm  0.0000  0.0000  0.0000 [4 per cell]  4 Re 3.12, 4 Mg 3.12
Th  0.0000  0.0000  0.5000 [4 per cell]  4 Re 3.12, 4 Mg 3.12
Mg  0.2500  0.2500  0.7500 [4 per cell]  4 Th 3.12, 4 Tm 3.12
Re  0.2500  0.2500  0.2500 [4 per cell]  4 Th 3.12, 4 Tm 3.12


Record 11
A relaxed YThMgRe crystal. Source: the Alexandria database, functional PBE.

Calculated values
The formation energy is 0.100 eV per atom. The calculation puts the density of states at the Fermi level at 20.09 states/eV per cell. Its volume is 23.78 Å³ per atom. The total energy comes out at -110.11 eV per cell. As for the density: 9.279 g/cm3.

Cell lengths 7.2460, 7.2460, 7.2460 Å; angles 90.00, 90.00, 90.00 degrees
Closest atoms and distances in Å follow each position.
Space group F-43m (No. 216)
Inequivalent atoms, fractional coordinates:
Y  0.0000  0.0000  0.0000 [4 per cell]  4 Mg 3.14, 4 Re 3.14
Th  0.0000  0.0000  0.5000 [4 per cell]  4 Re 3.14, 4 Mg 3.14
Mg  0.2500  0.2500  0.2500 [4 per cell]  4 Th 3.14, 4 Y 3.14
Re  0.2500  0.2500  0.7500 [4 per cell]  4 Th 3.14, 4 Y 3.14


Record 12
A relaxed ThMgZrRe crystal. Source: the Alexandria database, functional PBE.

Calculated values
The formation energy is 0.107 eV per atom. The calculation puts the density of states at the Fermi level at 15.44 states/eV per cell. Its volume is 22.15 Å³ per atom. The total energy comes out at -118.33 eV per cell. As for the density: 10.002 g/cm3.

Cell lengths 7.0771, 7.0771, 7.0771 Å; angles 90.00, 90.00, 90.00 degrees
Closest atoms and distances in Å follow each position.
Space group F-43m (No. 216)
Inequivalent atoms, fractional coordinates:
Th  0.0000  0.0000  0.0000 [4 per cell]  4 Re 3.06, 4 Mg 3.06
Mg  0.2500  0.2500  0.2500 [4 per cell]  4 Zr 3.06, 4 Th 3.06
Zr  0.0000  0.0000  0.5000 [4 per cell]  4 Re 3.06, 4 Mg 3.06
Re  0.2500  0.2500  0.7500 [4 per cell]  4 Zr 3.06, 4 Th 3.06